Compound: CsY
Source: the Alexandria database
Functional: PBE
Structure: optimized geometry

The structure belongs to space group Fddd (No. 70, origin choice 2); the cell edges are 11.234, 11.492 and 14.176 Å and the angles 90.00°, 90.00° and 90.00°. Symmetry generates all atoms from Cs at (0.125, 0.292, 0.125) and Y at (0.014, 0.375, 0.875).

The total energy comes out at -5.27 eV/f.u. For the density, the calculation gives 3.22 g/cm³. The total moment is 1.5 μB/f.u. As for the calculated formation energy: 1.0217 eV/atom.

---

Compound: CsY
Source: the Alexandria database
Functional: PBE
Structure: optimized geometry

The structure belongs to space group I4/m (No. 87); the cell edges are 15.197, 15.197 and 4.091 Å and the angles 90.00°, 90.00° and 90.00°. Symmetry generates all atoms from Cs at (0.132, 0.174, 0.000) and Y at (0.038, 0.618, 0.500).

The total energy comes out at -6.47 eV/f.u. For the density, the calculation gives 3.12 g/cm³. The total moment is 0.0 μB/f.u. As for the calculated formation energy: 0.4237 eV/atom.

---

Compound: CsY
Source: the Alexandria database
Functional: PBE
Structure: optimized geometry

The structure belongs to space group F-43m (No. 216); the cell edges are 7.180, 7.180 and 7.180 Å and the angles 90.00°, 90.00° and 90.00°. Symmetry generates all atoms from Cs at (0.000, 0.000, 0.000) and Y at (0.250, 0.250, 0.250).

The total energy comes out at -3.39 eV/f.u. For the density, the calculation gives 3.98 g/cm³. The total moment is 0.0 μB/f.u. As for the calculated formation energy: 1.9626 eV/atom.

---

Compound: CsY
Source: the Alexandria database
Functional: PBE
Structure: optimized geometry

The structure belongs to space group P-6m2 (No. 187); the cell edges are 3.8257, 3.8257 and 7.4818 Å and the angles 90.00°, 90.00° and 120.00°. Symmetry generates all atoms from Cs at (0.0000, 0.0000, 0.0000) and Y at (0.6667, 0.3333, 0.5000).

The total energy comes out at -5.93 eV/f.u. For the density, the calculation gives 3.88 g/cm³. The total moment is 0.8 μB/f.u. As for the calculated formation energy: 0.6958 eV/atom.

---

Compound: CsY
Source: the Alexandria database
Functional: PBE
Structure: optimized geometry

The structure belongs to space group I4/m (No. 87); the cell edges are 15.425, 15.425 and 4.015 Å and the angles 90.00°, 90.00° and 90.00°. Symmetry generates all atoms from Cs at (0.124, 0.178, 0.000) and Y at (0.056, 0.609, 0.000).

The total energy comes out at -6.44 eV/f.u. For the density, the calculation gives 3.08 g/cm³. The total moment is 0.0 μB/f.u. As for the calculated formation energy: 0.4376 eV/atom.

---

Compound: CsY
Source: the Alexandria database
Functional: PBE
Structure: optimized geometry

The structure belongs to space group P6_3/m (No. 176); the cell edges are 13.3215, 13.3215 and 3.6090 Å and the angles 90.00°, 90.00° and 120.00°. Symmetry generates all atoms from Cs at (0.1485, 0.8471, 0.2500) and Y at (0.1377, 0.5681, 0.2500).

The total energy comes out at -5.87 eV/f.u. For the density, the calculation gives 3.98 g/cm³. The total moment is 0.5 μB/f.u. As for the calculated formation energy: 0.7247 eV/atom.

---

Compound: CsY4
Source: the Alexandria database
Functional: PBE
Structure: optimized geometry

The structure belongs to space group Pm-3m (No. 221); the cell edges are 5.666, 5.666 and 5.666 Å and the angles 90.00°, 90.00° and 90.00°. Symmetry generates all atoms from Cs at (0.000, 0.000, 0.000), Y at (0.000, 0.000, 0.500) and Y at (0.500, 0.500, 0.500).

The total energy comes out at -21.50 eV/f.u. For the density, the calculation gives 4.46 g/cm³. The total moment is 0.0 μB/f.u. As for the calculated formation energy: 1.0422 eV/atom.

---

Compound: Cs2YZn
Source: the Alexandria database
Functional: PBE
Structure: optimized geometry

The structure belongs to space group I-42d (No. 122); the cell edges are 13.981, 13.981 and 5.655 Å and the angles 90.00°, 90.00° and 90.00°. Symmetry generates all atoms from Cs at (0.094, 0.250, 0.125), Y at (0.000, 0.000, 0.500) and Zn at (0.000, 0.000, 0.000).

The total energy comes out at -7.28 eV/f.u. For the density, the calculation gives 2.52 g/cm³. The total moment is 0.0 μB/f.u. As for the calculated formation energy: 0.5425 eV/atom.

---

Compound: CsYZn2
Source: the Alexandria database
Functional: PBE
Structure: optimized geometry

The structure belongs to space group I-42d (No. 122); the cell edges are 8.642, 8.642 and 7.814 Å and the angles 90.00°, 90.00° and 90.00°. Symmetry generates all atoms from Cs at (0.000, 0.000, 0.000), Y at (0.000, 0.000, 0.500) and Zn at (0.197, 0.750, 0.625).

The total energy comes out at -8.00 eV/f.u. For the energy above the most stable polymorph in this dataset, the calculation gives 90 meV per atom. For the density, the calculation gives 4.01 g/cm³. The total moment is 0.0 μB/f.u. As for the calculated formation energy: 0.4658 eV/atom.

---

Compound: CsY3Zn
Source: the Alexandria database
Functional: PBE
Structure: optimized geometry

The structure belongs to space group Pm-3m (No. 221); the cell edges are 5.622, 5.622 and 5.622 Å and the angles 90.00°, 90.00° and 90.00°. Symmetry generates all atoms from Cs at (0.000, 0.000, 0.000), Y at (0.000, 0.000, 0.500) and Zn at (0.500, 0.500, 0.500).

The total energy comes out at -14.60 eV/f.u. For the energy above the most stable polymorph in this dataset, the calculation gives 1007 meV per atom. For the density, the calculation gives 4.35 g/cm³. The total moment is 0.0 μB/f.u. As for the calculated formation energy: 1.3833 eV/atom.

---

Compound: CsY3Zn
Source: the Alexandria database
Functional: PBE
Structure: optimized geometry

The structure belongs to space group Pm-3m (No. 221); the cell edges are 5.703, 5.703 and 5.703 Å and the angles 90.00°, 90.00° and 90.00°. Symmetry generates all atoms from Cs at (0.000, 0.000, 0.000), Y at (0.000, 0.500, 0.500) and Zn at (0.500, 0.500, 0.500).

The total energy comes out at -19.64 eV/f.u. For the energy above the most stable polymorph in this dataset, the calculation gives 0 meV per atom. For the density, the calculation gives 4.16 g/cm³. The total moment is 0.0 μB/f.u. As for the calculated formation energy: 0.3762 eV/atom.

---

Compound: CsYZn2
Source: the Alexandria database
Functional: PBE
Structure: optimized geometry

The structure belongs to space group Fm-3m (No. 225); the cell edges are 7.869, 7.869 and 7.869 Å and the angles 90.00°, 90.00° and 90.00°. Symmetry generates all atoms from Cs at (0.000, 0.000, 0.000), Y at (0.000, 0.000, 0.500) and Zn at (0.250, 0.250, 0.250).

The total energy comes out at -8.36 eV/f.u. For the energy above the most stable polymorph in this dataset, the calculation gives 0 meV per atom. For the density, the calculation gives 4.81 g/cm³. The total moment is 0.0 μB/f.u. As for the calculated formation energy: 0.3762 eV/atom.

---

> Look up the density of the tenth one.

4.35 g/cm³